No. 1
Compound: Cs2RbCoC6N6
Source: OQMD
Functional: PBE
Structure: optimized geometry

Summary:
As for the energy: -235.5 eV per cell. The total magnetization is 0.01 Bohr magnetons per cell. As for the space group: No. 14. Its density is 2.74 g cm⁻³.

Unit cell a=7.6287 b=8.1397 c=11.0520 alpha=90.00 beta=90.48 gamma=90.00
With the nearest neighbours (Å) after each atom.
Fractional positions:
1 C 0.2978 0.3805 0.5331  1 N 1.18
2 C 0.3849 0.6935 0.5433  1 N 1.18
3 C 0.1151 0.1935 0.9567  1 N 1.18
4 C 0.6151 0.3065 0.4567  1 N 1.18
5 C 0.2022 0.8805 0.9669  1 N 1.18
6 C 0.7022 0.6195 0.4669  1 N 1.18
7 C 0.4230 0.5268 0.3410  1 N 1.18
8 C 0.0770 0.0268 0.1590  1 N 1.18
9 C 0.5770 0.4732 0.6590  1 N 1.18
10 C 0.7978 0.1195 0.0331  1 N 1.18
11 C 0.9230 0.9732 0.8410  1 N 1.18
12 C 0.8849 0.8065 0.0433  1 N 1.18
13 N 0.3124 0.8152 0.5712  1 C 1.18
14 N 0.1692 0.3076 0.5558  1 C 1.18
15 N 0.3308 0.8076 0.9442  1 C 1.18
16 N 0.6282 0.4520 0.7584  1 C 1.18
17 N 0.8308 0.6924 0.4442  1 C 1.18
18 N 0.6876 0.1848 0.4288  1 C 1.18
19 N 0.1282 0.0480 0.2584  1 C 1.18
20 N 0.8718 0.9520 0.7416  1 C 1.18
21 N 0.1876 0.3152 0.9288  1 C 1.18
22 N 0.6692 0.1924 0.0558  1 C 1.18
23 N 0.3718 0.5480 0.2416  1 C 1.18
24 N 0.8124 0.6848 0.0712  1 C 1.18
25 Cs 0.9779 0.4292 0.2511  4 N 3.14-3.31
26 Cs 0.4779 0.0708 0.7511  4 N 3.14-3.31
27 Cs 0.5221 0.9292 0.2489  4 N 3.14-3.31
28 Cs 0.0221 0.5708 0.7489  4 N 3.14-3.31
29 Co 0.5000 0.5000 0.5000  6 C 1.86-1.87
30 Co 0.0000 0.0000 0.0000  6 C 1.86-1.87
31 Rb 0.5000 0.5000 0.0000  6 N 2.88-2.92
32 Rb 0.0000 0.0000 0.5000  6 N 2.88-2.92

No. 2
Compound: Hf4CoCuC2
Source: OQMD
Functional: PBE
Structure: optimized geometry

Summary:
As for the energy: -72.6 eV per cell. The total magnetization is 0.31 Bohr magnetons per cell. As for the space group: No. 187. Its density is 11.80 g cm⁻³.

Unit cell a=3.2367 b=3.2367 c=13.3463 alpha=90.00 beta=90.00 gamma=120.00
With the nearest neighbours (Å) after each atom.
Fractional positions:
1 Hf 0.0000 0.0000 0.6569  3 C 2.27
2 Hf 0.6667 0.3333 0.1449  3 C 2.31
3 Hf 0.6667 0.3333 0.8551  3 C 2.31
4 Hf 0.0000 0.0000 0.3431  3 C 2.27
5 Cu 0.6667 0.3333 0.5000  6 Hf 2.81
6 C 0.3333 0.6667 0.7532  6 Hf 2.27-2.31
7 C 0.3333 0.6667 0.2468  6 Hf 2.27-2.31
8 Co 0.0000 0.0000 0.0000  6 Hf 2.69

No. 3
Compound: Lu4CoCuC2
Source: OQMD
Functional: PBE
Structure: optimized geometry

Summary:
As for the energy: -48.7 eV per cell. The total magnetization is 0.71 Bohr magnetons per cell. As for the space group: No. 187. The calculation puts the distance to the lowest polymorph of the same formula at 0 meV per atom. Its density is 9.87 g cm⁻³.

Unit cell a=3.5108 b=3.5108 c=13.3444 alpha=90.00 beta=90.00 gamma=120.00
With the nearest neighbours (Å) after each atom.
Fractional positions:
1 Lu 0.6667 0.3333 0.8556  3 C 2.46
2 Lu 0.3333 0.6667 0.6593  3 C 2.37
3 Lu 0.3333 0.6667 0.3407  3 C 2.37
4 Lu 0.6667 0.3333 0.1444  3 C 2.46
5 Cu 0.6667 0.3333 0.5000  6 Lu 2.94
6 Co 0.3333 0.6667 0.0000  6 Lu 2.80
7 C 0.0000 0.0000 0.2486  6 Lu 2.37-2.46
8 C 0.0000 0.0000 0.7514  6 Lu 2.37-2.46

No. 4
Compound: Nb4CoCuC2
Source: OQMD
Functional: PBE
Structure: optimized geometry

Summary:
As for the energy: -71.0 eV per cell. The total magnetization is 0.75 Bohr magnetons per cell. As for the space group: No. 187. Its density is 7.76 g cm⁻³.

Unit cell a=3.1216 b=3.1216 c=13.1320 alpha=90.00 beta=90.00 gamma=120.00
With the nearest neighbours (Å) after each atom.
Fractional positions:
1 Nb 0.0000 0.0000 0.6489  3 C 2.20
2 Nb 0.6667 0.3333 0.1611  3 C 2.18
3 Nb 0.6667 0.3333 0.8389  3 C 2.18
4 Nb 0.0000 0.0000 0.3511  3 C 2.20
5 Cu 0.0000 0.0000 0.0000  6 Nb 2.78
6 Co 0.6667 0.3333 0.5000  6 Nb 2.66
7 C 0.3333 0.6667 0.2548  6 Nb 2.18-2.20
8 C 0.3333 0.6667 0.7452  6 Nb 2.18-2.20

No. 5
Compound: CoCuW4C2
Source: OQMD
Functional: PBE
Structure: optimized geometry

Summary:
As for the energy: -79.3 eV per cell. The total magnetization is 0.02 Bohr magnetons per cell. As for the space group: No. 187. Its density is 14.32 g cm⁻³.

Unit cell a=3.0356 b=3.0356 c=12.8161 alpha=90.00 beta=90.00 gamma=120.00
With the nearest neighbours (Å) after each atom.
Fractional positions:
1 Cu 0.6667 0.3333 0.5000  6 W 2.74, 6 Cu 3.04
2 Co 0.0000 0.0000 0.0000  6 W 2.61
3 W 0.0000 0.0000 0.3361  3 C 2.10
4 W 0.6667 0.3333 0.1512  3 C 2.13
5 W 0.6667 0.3333 0.8488  3 C 2.13
6 W 0.0000 0.0000 0.6639  3 C 2.10
7 C 0.3333 0.6667 0.7545  6 W 2.10-2.13
8 C 0.3333 0.6667 0.2455  6 W 2.10-2.13

No. 6
Compound: Y4CoCuC2
Source: OQMD
Functional: PBE
Structure: optimized geometry

Summary:
As for the energy: -55.7 eV per cell. The total magnetization is 0.68 Bohr magnetons per cell. As for the space group: No. 187. Its density is 5.40 g cm⁻³.

Unit cell a=3.6158 b=3.6158 c=13.6455 alpha=90.00 beta=90.00 gamma=120.00
With the nearest neighbours (Å) after each atom.
Fractional positions:
1 Y 0.0000 0.0000 0.6577  3 C 2.44
2 Y 0.0000 0.0000 0.3423  3 C 2.44
3 Y 0.6667 0.3333 0.1426  3 C 2.55, 3 Co 2.85
4 Y 0.6667 0.3333 0.8574  3 C 2.55, 3 Co 2.85
5 Cu 0.6667 0.3333 0.5000  6 Y 3.00
6 C 0.3333 0.6667 0.7500  6 Y 2.44-2.55
7 C 0.3333 0.6667 0.2500  6 Y 2.44-2.55
8 Co 0.0000 0.0000 0.0000  6 Y 2.85

No. 7
Compound: DyErCo2Ge2C
Source: OQMD
Functional: PBE
Structure: optimized geometry

Summary:
As for the energy: -46.2 eV per cell. The total magnetization is 0.00 Bohr magnetons per cell. As for the space group: No. 8. Its density is 8.99 g cm⁻³.

Unit cell a=5.6918 b=5.6918 c=6.8131 alpha=125.56 beta=125.56 gamma=40.14
With the nearest neighbours (Å) after each atom.
Fractional positions:
1 Ge 0.8395 0.8395 0.3012  3 Co 2.37-2.42
2 Ge 0.1611 0.1611 0.7004  3 Co 2.36-2.41
3 Co 0.1921 0.1921 0.0818  1 C 1.77
4 Co 0.8074 0.8074 0.9176  1 C 1.77
5 Er 0.4412 0.4412 0.7095  2 C 2.56
6 C 0.9992 0.9992 0.9975  2 Co 1.77
7 Dy 0.5595 0.5595 0.2920  2 C 2.58

No. 8
Compound: DyErCo2C2N2
Source: OQMD
Functional: PBE
Structure: optimized geometry

Summary:
As for the energy: -64.3 eV per cell. The total magnetization is 0.00 Bohr magnetons per cell. As for the space group: No. 99. Its density is 9.75 g cm⁻³.

Unit cell a=3.4277 b=3.4277 c=7.2428 alpha=90.00 beta=90.00 gamma=90.00
With the nearest neighbours (Å) after each atom.
Fractional positions:
1 N 0.0000 0.0000 0.1503  1 C 1.44
2 N 0.5000 0.5000 0.8510  1 C 1.44
3 C 0.5000 0.5000 0.6520  1 N 1.44
4 C 0.0000 0.0000 0.3489  1 N 1.44
5 Co 0.0000 0.5000 0.4993  4 C 2.03-2.04
6 Co 0.5000 0.0000 0.4993  4 C 2.03-2.04
7 Dy 0.0000 0.0000 0.8247  5 N 2.36-2.43
8 Er 0.5000 0.5000 0.1745  5 N 2.34-2.43

No. 9
Compound: DyErCo2Si2C
Source: OQMD
Functional: PBE
Structure: optimized geometry

Summary:
As for the energy: -48.3 eV per cell. The total magnetization is 0.02 Bohr magnetons per cell. As for the space group: No. 8. Its density is 8.09 g cm⁻³.

Unit cell a=5.6050 b=5.6050 c=6.7636 alpha=126.71 beta=126.71 gamma=40.26
With the nearest neighbours (Å) after each atom.
Fractional positions:
1 Er 0.5633 0.5633 0.2964  2 C 2.54
2 Si 0.1557 0.1557 0.7027  3 Co 2.30-2.34
3 Si 0.8442 0.8442 0.2969  3 Co 2.30-2.34
4 C 0.0001 0.0001 0.0005  2 Co 1.78
5 Co 0.1992 0.1992 0.0883  1 C 1.78
6 Co 0.8010 0.8010 0.9119  1 C 1.78
7 Dy 0.4365 0.4365 0.7032  2 C 2.55

No. 10
Compound: Dy2FeCoGe2C
Source: OQMD
Functional: PBE
Structure: optimized geometry

Summary:
As for the energy: -47.5 eV per cell. The total magnetization is 0.00 Bohr magnetons per cell. As for the space group: No. 8. Its density is 8.80 g cm⁻³.

Unit cell a=5.6848 b=5.6848 c=6.8355 alpha=125.34 beta=125.34 gamma=40.38
With the nearest neighbours (Å) after each atom.
Fractional positions:
1 Fe 0.1927 0.1927 0.0809  1 C 1.75
2 Dy 0.4418 0.4418 0.7105  2 C 2.58
3 Dy 0.5582 0.5582 0.2895  2 C 2.57
4 Ge 0.8369 0.8369 0.2951  2 Fe 2.36, 1 Co 2.40
5 Ge 0.1624 0.1624 0.7050  2 Co 2.36, 1 Fe 2.38
6 C 0.0022 0.0022 0.0023  1 Fe 1.75, 1 Co 1.79
7 Co 0.8059 0.8059 0.9167  1 C 1.79

No. 11
Compound: GdDyCo2C2
Source: OQMD
Functional: PBE
Structure: optimized geometry

Summary:
As for the energy: -43.7 eV per cell. The total magnetization is 0.54 Bohr magnetons per cell. As for the space group: No. 115. Its density is 8.37 g cm⁻³.

Unit cell a=3.6211 b=3.6211 c=6.9826 alpha=90.00 beta=90.00 gamma=90.00
With the nearest neighbours (Å) after each atom.
Fractional positions:
1 Co 0.5000 0.5000 0.7446  2 C 1.81
2 Co 0.5000 0.5000 0.2554  2 C 1.81
3 C 0.5000 0.0000 0.7465  2 Co 1.81
4 C 0.0000 0.5000 0.2535  2 Co 1.81
5 Gd 0.0000 0.0000 0.0000  4 C 2.53
6 Dy 0.0000 0.0000 0.5000  4 C 2.50

No. 12
Compound: Gd2DyCo2C2N3
Source: OQMD
Functional: PBE
Structure: optimized geometry

Summary:
As for the energy: -80.6 eV per cell. The total magnetization is 0.00 Bohr magnetons per cell. As for the space group: No. 139. Its density is 9.37 g cm⁻³.

Unit cell a=10.0317 b=10.0317 c=10.0317 alpha=160.08 beta=160.08 gamma=28.31
With the nearest neighbours (Å) after each atom.
Fractional positions:
1 N 0.8795 0.8795 0.0000  1 C 1.43
2 N 0.1205 0.1205 0.0000  1 C 1.43
3 N 0.5000 0.5000 0.0000  4 Dy 2.45, 2 Gd 2.48
4 C 0.8063 0.8063 0.0000  1 N 1.43
5 C 0.1937 0.1937 0.0000  1 N 1.43
6 Dy 0.0000 0.0000 0.0000  6 N 2.34-2.45
7 Co 0.7500 0.2500 0.5000  4 C 2.05
8 Co 0.2500 0.7500 0.5000  4 C 2.05
9 Gd 0.6275 0.6275 0.0000  5 N 2.46-2.48
10 Gd 0.3725 0.3725 0.0000  5 N 2.46-2.48

No. 13
Compound: GdDyCo2Si2C
Source: OQMD
Functional: PBE
Structure: optimized geometry

Summary:
As for the energy: -48.3 eV per cell. The total magnetization is 0.01 Bohr magnetons per cell. As for the space group: No. 8. Its density is 7.76 g cm⁻³.

Unit cell a=5.6452 b=5.6452 c=6.8290 alpha=126.91 beta=126.91 gamma=40.34
With the nearest neighbours (Å) after each atom.
Fractional positions:
1 Co 0.1980 0.1980 0.0865  1 C 1.78
2 Co 0.8015 0.8015 0.9128  1 C 1.78
3 Dy 0.4370 0.4370 0.7036  2 C 2.56
4 Si 0.1577 0.1577 0.7076  3 Co 2.31-2.34
5 Si 0.8427 0.8427 0.2942  3 Co 2.32-2.35
6 C 0.9990 0.9990 0.9970  2 Co 1.78
7 Gd 0.5641 0.5641 0.2983  2 C 2.59

No. 14
Compound: DyHoCo2Ge2C
Source: OQMD
Functional: PBE
Structure: optimized geometry

Summary:
As for the energy: -46.2 eV per cell. The total magnetization is 0.02 Bohr magnetons per cell. As for the space group: No. 8. Its density is 8.93 g cm⁻³.

Unit cell a=5.6968 b=5.6968 c=6.8093 alpha=125.58 beta=125.58 gamma=40.23
With the nearest neighbours (Å) after each atom.
Fractional positions:
1 Co 0.1941 0.1941 0.0825  1 C 1.76
2 Co 0.8094 0.8094 0.9155  1 C 1.76
3 Ge 0.8412 0.8412 0.2988  3 Co 2.37-2.41
4 Ge 0.1629 0.1629 0.7003  3 Co 2.37-2.41
5 C 0.0014 0.0014 0.9977  2 Co 1.76
6 Ho 0.4424 0.4424 0.7076  2 C 2.57
7 Dy 0.5618 0.5618 0.2916  2 C 2.58

No. 15
Compound: LaDyCo2Ge2C
Source: OQMD
Functional: PBE
Structure: optimized geometry

Summary:
As for the energy: -46.3 eV per cell. The total magnetization is 0.01 Bohr magnetons per cell. As for the space group: No. 8. Its density is 7.92 g cm⁻³.

Unit cell a=5.8490 b=5.8490 c=7.0340 alpha=126.17 beta=126.17 gamma=40.23
With the nearest neighbours (Å) after each atom.
Fractional positions:
1 C 0.0051 0.0051 0.0160  2 Co 1.77
2 Dy 0.5559 0.5559 0.2886  2 C 2.59
3 Co 0.8131 0.8131 0.9240  1 C 1.77
4 Co 0.1888 0.1888 0.0787  1 C 1.77
5 La 0.4399 0.4399 0.7012  2 C 2.73, 1 Ge 3.04
6 Ge 0.1680 0.1680 0.7129  3 Co 2.41-2.44
7 Ge 0.8291 0.8291 0.2785  3 Co 2.38-2.39

No. 16
Compound: DyLuCo2Ge2C
Source: OQMD
Functional: PBE
Structure: optimized geometry

Summary:
As for the energy: -46.1 eV per cell. The total magnetization is 0.02 Bohr magnetons per cell. As for the space group: No. 8. Its density is 9.22 g cm⁻³.

Unit cell a=5.6749 b=5.6749 c=6.7744 alpha=125.49 beta=125.49 gamma=40.02
With the nearest neighbours (Å) after each atom.
Fractional positions:
1 Ge 0.8409 0.8409 0.3043  3 Co 2.37-2.42
2 Ge 0.1606 0.1606 0.6995  3 Co 2.35-2.40
3 Lu 0.4417 0.4417 0.7111  2 C 2.53
4 Co 0.8069 0.8069 0.9170  1 C 1.76
5 Co 0.1921 0.1921 0.0817  1 C 1.77
6 C 0.9979 0.9979 0.9940  2 Co 1.76-1.77
7 Dy 0.5600 0.5600 0.2924  2 C 2.58

No. 17
Compound: Dy2Co2SiGeC
Source: OQMD
Functional: PBE
Structure: optimized geometry

Summary:
As for the energy: -47.3 eV per cell. The total magnetization is 0.03 Bohr magnetons per cell. As for the space group: No. 8. Its density is 8.41 g cm⁻³.

Unit cell a=5.6633 b=5.6633 c=6.8178 alpha=126.24 beta=126.24 gamma=40.23
With the nearest neighbours (Å) after each atom.
Fractional positions:
1 Co 0.8013 0.8013 0.9081  1 C 1.77
2 Co 0.1923 0.1923 0.0786  1 C 1.77
3 C 0.9983 0.9983 0.9980  2 Co 1.77
4 Si 0.1622 0.1622 0.7093  3 Co 2.30-2.33
5 Ge 0.8448 0.8448 0.3025  3 Co 2.37-2.42
6 Dy 0.5626 0.5626 0.2965  2 C 2.58
7 Dy 0.4384 0.4384 0.7070  2 C 2.56

No. 18
Compound: TbDyCo2Ge2C
Source: OQMD
Functional: PBE
Structure: optimized geometry

Summary:
As for the energy: -46.3 eV per cell. The total magnetization is 0.00 Bohr magnetons per cell. As for the space group: No. 8. Its density is 8.74 g cm⁻³.

Unit cell a=5.7135 b=5.7135 c=6.8548 alpha=125.65 beta=125.65 gamma=40.26
With the nearest neighbours (Å) after each atom.
Fractional positions:
1 Tb 0.4408 0.4408 0.7075  2 C 2.59
2 Co 0.8086 0.8086 0.9189  1 C 1.76
3 Co 0.1916 0.1916 0.0814  1 C 1.76
4 C 0.0004 0.0004 0.0013  2 Co 1.76
5 Ge 0.1624 0.1624 0.7029  3 Co 2.37-2.41
6 Ge 0.8373 0.8373 0.2963  3 Co 2.37-2.41
7 Dy 0.5588 0.5588 0.2917  2 C 2.58

No. 19
Compound: DyTmCo2Ge2C
Source: OQMD
Functional: PBE
Structure: optimized geometry

Summary:
As for the energy: -46.1 eV per cell. The total magnetization is 0.02 Bohr magnetons per cell. As for the space group: No. 8. Its density is 9.07 g cm⁻³.

Unit cell a=5.6788 b=5.6788 c=6.7902 alpha=125.43 beta=125.43 gamma=40.15
With the nearest neighbours (Å) after each atom.
Fractional positions:
1 Co 0.8070 0.8070 0.9169  1 C 1.76
2 Co 0.1923 0.1923 0.0821  1 C 1.77
3 Dy 0.5594 0.5594 0.2918  2 C 2.58
4 C 0.9987 0.9987 0.9960  2 Co 1.76-1.77
5 Ge 0.1609 0.1609 0.6999  3 Co 2.36-2.40
6 Ge 0.8401 0.8401 0.3027  3 Co 2.37-2.42
7 Tm 0.4418 0.4418 0.7105  2 C 2.54

No. 20
Compound: DyHoCo2C2
Source: OQMD
Functional: PBE
Structure: optimized geometry

Summary:
As for the energy: -43.8 eV per cell. The total magnetization is 0.66 Bohr magnetons per cell. As for the space group: No. 115. Its density is 8.69 g cm⁻³.

Unit cell a=3.6144 b=3.6144 c=6.8651 alpha=90.00 beta=90.00 gamma=90.00
With the nearest neighbours (Å) after each atom.
Fractional positions:
1 Co 0.5000 0.5000 0.2512  2 C 1.81
2 Co 0.5000 0.5000 0.7488  2 C 1.81
3 C 0.0000 0.5000 0.2512  2 Co 1.81
4 C 0.5000 0.0000 0.7488  2 Co 1.81
5 Dy 0.0000 0.0000 0.0000  4 C 2.50
6 Ho 0.0000 0.0000 0.5000  4 C 2.49